# LaZn2Ni | Alexandria via LeMat-Bulk | PBE | relaxed
# Electronic total energy (eV/atom): -3.2010
# DOS(E_F) (states/eV per atom): 0.56
# Total moment (Bohr magnetons per cell): 1.45
data_LaZn2Ni
_cell_length_a 3.1539
_cell_length_b 3.1539
_cell_length_c 26.6906
_cell_angle_alpha 90.00
_cell_angle_beta 90.00
_cell_angle_gamma 120.00
_symmetry_space_group_name_H-M 'R -3 m'
_symmetry_Int_Tables_number 166
_symmetry_space_group_name_Hall '-R 3 2"'
loop_
_atom_site_label
_atom_site_fract_x
_atom_site_fract_y
_atom_site_fract_z
_atom_site_occupancy
La1 0.0000 0.0000 0.0000 1
Zn1 0.0000 0.0000 0.2304 1
Ni1 0.0000 0.0000 0.5000 1